Material: CoNiH24S2O20
Method: DFT, GGA+U
State: relaxed

Output
Its space group is C2/c (15). Its total energy is -0.191 hartree per atom.

a b c (Å): 6.210 6.210 24.550
angles (deg): 93.92 95.82 109.19
Sites, in units of the cell vectors:
H1 0.159 0.326 0.089
H2 0.245 0.696 0.994
O1 0.318 0.681 0.454
H3 0.123 0.663 0.050
O2 0.336 0.577 0.929
O3 0.254 0.449 0.830
H4 0.496 0.443 0.201
O4 0.796 0.793 0.931
O5 0.664 0.423 0.071
S1 0.801 0.685 0.376
O6 0.453 0.368 0.635
O7 0.078 0.061 0.617
S2 0.809 0.425 0.124
O8 0.853 0.593 0.429
O9 0.346 0.862 0.718
H5 0.113 0.073 0.450
O10 0.056 0.539 0.117
H6 0.755 0.304 0.006
H7 0.732 0.967 0.079
O11 0.882 0.577 0.330
H8 0.877 0.337 0.950
O12 0.356 0.372 0.218
H9 0.117 0.681 0.299
Co1 0.000 0.000 0.000
O13 0.241 0.144 0.480
O14 0.639 0.136 0.431
H10 0.757 0.081 0.262
H11 0.939 0.076 0.189
S3 0.199 0.315 0.624
H12 0.257 0.705 0.701
H13 0.061 0.924 0.811
O15 0.769 0.794 0.680
H14 0.650 0.663 0.658
H15 0.798 0.750 0.494
H16 0.883 0.319 0.701
O16 0.386 0.911 0.180
H17 0.743 0.295 0.299
H18 0.119 0.183 0.799
O17 0.232 0.818 0.865
O18 0.836 0.239 0.980
H19 0.849 0.355 0.557
H20 0.887 0.927 0.550
O19 0.746 0.551 0.170
O20 0.768 0.182 0.135
O21 0.118 0.423 0.670
H21 0.867 0.891 0.656
H22 0.681 0.505 0.762
H23 0.707 0.305 0.433
H24 0.387 0.653 0.421
H25 0.293 0.695 0.567
O22 0.547 0.632 0.365
H26 0.736 0.070 0.411
Ni1 0.311 0.061 0.250
H27 0.372 0.274 0.067
O23 0.273 0.136 0.954
H28 0.151 0.645 0.443
H29 0.243 0.919 0.738
O24 0.944 0.461 0.883
O25 0.682 0.319 0.546
H30 0.505 0.992 0.842
O26 0.147 0.407 0.571
H31 0.133 0.109 0.344
O27 0.654 0.138 0.282
H32 0.202 0.250 0.506
H33 0.504 0.557 0.799
S4 0.191 0.575 0.876
H34 0.495 0.008 0.158
H35 0.736 0.211 0.844
O28 0.204 0.207 0.069
H36 0.298 0.292 0.943
O29 0.361 0.864 0.569
H37 0.264 0.930 0.589
O30 0.727 0.864 0.046
H38 0.350 0.337 0.342
O31 0.259 0.739 0.281
O32 0.958 0.978 0.219
H39 0.386 0.750 0.311
H40 0.614 0.250 0.689
H41 0.613 0.347 0.579
H42 0.628 0.726 0.933
H43 0.881 0.817 0.201
H44 0.841 0.674 0.911
O33 0.644 0.628 0.782
Ni2 0.689 0.939 0.750
O34 0.614 0.089 0.820
O35 0.164 0.761 0.020
O36 0.042 0.022 0.781
Co2 0.500 0.000 0.500
H45 0.264 0.789 0.156
O37 0.741 0.261 0.719
O38 0.231 0.206 0.320
H46 0.702 0.708 0.057
H47 0.319 0.495 0.238
O39 0.759 0.856 0.520
H48 0.268 0.033 0.921
O40 0.922 0.939 0.383